The following is a DFT calculation (PBE-GGA) of a relaxed structure of Zn2NiPb.

a b c (Å): 9.124 9.124 9.124
angles (deg): 19.70 19.70 19.70
Fractional coordinates of all 4 atoms:
Ni 0.250 0.250 0.250
Pb 0.750 0.750 0.750
Zn 0.980 0.980 0.980
Zn 0.520 0.520 0.520

Summary:
DFT formation energy: 0.170 eV/atom
raw total energy: -11.356 eV for the cell shown
magnetization: 0.00 μB/cell